Entry 1:
Material: SrBePtAu2
Method: DFT, GGA-PBE
State: relaxed

Total energy in eV/atom: -4.08
DFT formation energy in meV/atom: -475
V in Å³/cell: 98

Structure (POSCAR):
```
SrBePtAu2
1.0
4.656 0.000 0.000
0.000 4.656 0.000
0.000 0.000 4.541
Sr Be Pt Au
1 1 1 2
Direct
0.000 0.000 0.000
0.500 0.500 0.500
0.500 0.500 0.000
0.000 0.500 0.500
0.500 0.000 0.500
```

Entry 2:
Material: Ba12Cl5F19
Method: DFT, GGA-PBE
State: relaxed

Energy relative to the elements, uncorrected in kcal/mol of atoms: -83.12
Total energy in eV/atom: -5.49
V in Å³/cell: 764

Structure (POSCAR):
```
Ba12Cl5F19
1.0
14.288 0.000 0.000
-7.144 12.374 0.000
0.000 0.000 4.319
Ba Cl F
12 5 19
Direct
0.000 0.178 0.000
0.000 0.627 0.000
0.167 0.476 0.500
0.178 0.000 0.000
0.309 0.833 0.500
0.373 0.373 0.000
0.476 0.167 0.500
0.524 0.691 0.500
0.627 0.000 0.000
0.691 0.524 0.500
0.822 0.822 0.000
0.833 0.309 0.500
0.000 0.814 0.500
0.186 0.186 0.500
0.333 0.667 0.000
0.667 0.333 0.000
0.814 0.000 0.500
0.000 0.000 0.000
0.000 0.281 0.500
0.000 0.441 0.000
0.126 0.638 0.500
0.182 0.376 0.000
0.194 0.818 0.000
0.281 0.000 0.500
0.362 0.488 0.500
0.376 0.182 0.000
0.441 0.000 0.000
0.488 0.362 0.500
0.512 0.874 0.500
0.559 0.559 0.000
0.624 0.806 0.000
0.638 0.126 0.500
0.719 0.719 0.500
0.806 0.624 0.000
0.818 0.194 0.000
0.874 0.512 0.500
```

Entry 3:
Material: La4Gd2N
Method: DFT, GGA-PBE
State: relaxed

Energy relative to the elements, uncorrected in kcal/mol of atoms: -5.08
Total energy in eV/atom: -8.25
V in Å³/cell: 230

Structure (POSCAR):
```
La4Gd2N
1.0
-2.552 2.552 8.842
2.552 -2.552 8.842
2.552 2.552 -8.842
La Gd N
4 2 1
Direct
0.000 0.500 0.500
0.138 0.138 0.000
0.500 0.000 0.500
0.862 0.862 0.000
0.337 0.337 0.000
0.663 0.663 0.000
0.000 0.000 0.000
```

Entry 4:
Material: NiRu4Pb
Method: DFT, GGA-PBE
State: relaxed

Total energy in eV/atom: -7.03
DFT formation energy in meV/atom: 739
V in Å³/cell: 98

Structure (POSCAR):
```
NiRu4Pb
1.0
0.000 3.659 3.659
3.659 0.000 3.659
3.659 3.659 0.000
Ni Ru Pb
1 4 1
Direct
0.000 0.000 0.000
0.374 0.374 0.374
0.374 0.374 0.877
0.374 0.877 0.374
0.877 0.374 0.374
0.750 0.750 0.750
```